No. 1
Density functional theory data (PBE-GGA) for crystalline Mn5Ni2Bi4 at its relaxed geometry.

a b c (Å): 8.531 8.531 8.531
angles (deg): 60.00 60.00 60.00
Sites, in units of the cell vectors:
Mn1 0.167 0.167 0.167
Mn2 0.167 0.167 0.499
Mn3 0.167 0.499 0.167
Mn4 0.250 0.250 0.750
Mn5 0.250 0.750 0.250
Mn6 0.250 0.750 0.750
Mn7 0.499 0.167 0.167
Mn8 0.750 0.250 0.250
Mn9 0.750 0.250 0.750
Mn10 0.750 0.750 0.250
Ni1 0.372 0.372 0.372
Ni2 0.372 0.372 0.884
Ni3 0.372 0.884 0.372
Ni4 0.884 0.372 0.372
Bi1 0.000 0.000 0.000
Bi2 0.500 0.500 0.500
Bi3 0.539 0.539 0.961
Bi4 0.539 0.961 0.539
Bi5 0.539 0.961 0.961
Bi6 0.961 0.539 0.539
Bi7 0.961 0.539 0.961
Bi8 0.961 0.961 0.539

## Properties
E_form in meV per atom: 156
SG: No. 216
Mass density in Mg/m³: 9.291


No. 2
Density functional theory data (PBE-GGA) for crystalline PrNd2Hg4 at its relaxed geometry.

a b c (Å): 5.800 5.800 15.832
angles (deg): 90.00 90.00 90.00
Sites, in units of the cell vectors:
Pr1 0.000 0.000 0.000
Pr2 0.500 0.500 0.500
Nd1 0.000 0.000 0.398
Nd2 0.000 0.000 0.602
Nd3 0.500 0.500 0.102
Nd4 0.500 0.500 0.898
Hg1 0.000 0.000 0.198
Hg2 0.000 0.000 0.802
Hg3 0.000 0.500 0.000
Hg4 0.000 0.500 0.500
Hg5 0.500 0.000 0.000
Hg6 0.500 0.000 0.500
Hg7 0.500 0.500 0.302
Hg8 0.500 0.500 0.698

## Properties
ΔE to the lowest computed polymorph in meV/atom: 342.4
E_form in meV per atom: 9
SG: No. 139
Mass density in Mg/m³: 7.681


No. 3
Density functional theory data (PBE-GGA) for crystalline La3CeSm2Sb6 at its relaxed geometry.

a b c (Å): 7.885 7.885 7.894
angles (deg): 99.58 99.58 120.00
Sites, in units of the cell vectors:
La1 0.000 0.000 0.000
La2 0.333 0.667 0.000
La3 0.667 0.333 0.000
Ce1 0.500 0.500 0.500
Sm1 0.166 0.834 0.500
Sm2 0.834 0.166 0.500
Sb1 0.087 0.419 0.258
Sb2 0.248 0.248 0.742
Sb3 0.419 0.087 0.258
Sb4 0.581 0.913 0.742
Sb5 0.752 0.752 0.258
Sb6 0.913 0.581 0.742

## Properties
Formation energy from raw total energies in eV per formula unit: -14.49
SG: No. 12
Mass density in Mg/m³: 6.580


No. 4
Density functional theory data (PBE-GGA) for crystalline Y2FeTe at its relaxed geometry.

a b c (Å): 4.144 4.144 6.294
angles (deg): 90.00 90.00 90.00
Sites, in units of the cell vectors:
Y1 0.000 0.000 0.000
Y2 0.500 0.500 0.363
Fe1 0.000 0.000 0.402
Te1 0.500 0.500 0.852

## Properties
ΔE to the lowest computed polymorph in meV/atom: 229.8
Formation energy from raw total energies in eV per formula unit: -1.16
SG: No. 99
Mass density in Mg/m³: 5.551


No. 5
Density functional theory data (PBE-GGA) for crystalline Li2Mg2Pb3 at its relaxed geometry.

a b c (Å): 4.970 4.984 8.741
angles (deg): 90.31 106.33 119.69
Sites, in units of the cell vectors:
Li1 0.236 0.118 0.354
Li2 0.764 0.882 0.646
Mg1 0.259 0.630 0.890
Mg2 0.741 0.370 0.110
Pb1 0.000 0.500 0.500
Pb2 0.498 0.248 0.747
Pb3 0.502 0.752 0.253

## Properties
E_form in meV per atom: -148
SG: No. 2
Mass density in Mg/m³: 6.391


No. 6
Density functional theory data (PBE-GGA) for crystalline Ca3Tb2PrTe6 at its relaxed geometry.

a b c (Å): 10.036 10.036 8.998
angles (deg): 104.28 104.28 25.45
Sites, in units of the cell vectors:
Ca1 0.000 0.000 0.000
Ca2 0.336 0.336 0.668
Ca3 0.664 0.664 0.332
Tb1 0.337 0.337 0.174
Tb2 0.663 0.663 0.826
Pr1 0.000 0.000 0.500
Te1 0.169 0.169 0.078
Te2 0.170 0.170 0.586
Te3 0.499 0.499 0.242
Te4 0.501 0.501 0.758
Te5 0.830 0.830 0.414
Te6 0.831 0.831 0.922

## Properties
Formation energy from raw total energies in eV per formula unit: -17.82
SG: No. 12
Mass density in Mg/m³: 5.926


No. 7
Density functional theory data (PBE-GGA) for crystalline CdTc2Cl at its relaxed geometry.

a b c (Å): 5.203 9.773 2.755
angles (deg): 90.00 90.00 90.00
Sites, in units of the cell vectors:
Cd1 0.000 0.000 0.000
Cd2 0.500 0.500 0.000
Tc1 0.250 0.250 0.500
Tc2 0.250 0.750 0.500
Tc3 0.750 0.250 0.500
Tc4 0.750 0.750 0.500
Cl1 0.000 0.500 0.000
Cl2 0.500 0.000 0.000

## Properties
ΔE to the lowest computed polymorph in meV/atom: 1011.7
Formation energy from raw total energies in eV per formula unit: 4.00
SG: No. 65
Mass density in Mg/m³: 8.152


No. 8
Density functional theory data (PBE-GGA) for crystalline SrGaAs2Ru at its relaxed geometry.

a b c (Å): 4.820 4.820 5.618
angles (deg): 90.00 90.00 90.00
Sites, in units of the cell vectors:
Sr1 0.000 0.000 0.000
Ga1 0.500 0.500 0.000
As1 0.000 0.500 0.500
As2 0.500 0.000 0.500
Ru1 0.000 0.000 0.500

## Properties
E_form in meV per atom: 80
SG: No. 123
Mass density in Mg/m³: 5.195


Record-wise electronic total energy values, in eV/atom: -6.475; -2.209; -5.782; -6.424; -2.740; -4.726; -4.874; -4.576
Record-wise total magnetization values, in μB per atom: 1.87; 0.00; 0.05; 0.22; 0.00; 0.00; 0.18; 0.00